# 1
{
  "formula": "FeAg2Br",
  "functional": "PBE",
  "state": "relaxed",
  "n_ef_per_ev_cell": 3.5,
  "m_tot_mub_per_atom": 0.827,
  "raw_formation_energy_ev_per_fu": 1.1,
  "e_above_lowest_polymorph_ev_per_fu": 0.19,
  "lattice": [[4.757, 0.009, -0.159], [3.671, 3.025, -0.159], [1.293, 0.466, 6.607]],
  "species": ["Ag", "Br", "Ag", "Fe"],
  "fractional_positions": [[0.951, 0.951, 0.028], [0.639, 0.639, 0.454], [0.696, 0.696, 0.845], [0.213, 0.213, 0.174]]
}

# 2
{
  "formula": "FeAgBr4",
  "functional": "PBE",
  "state": "relaxed",
  "m_tot_mub_per_atom": 0.832,
  "raw_formation_energy_ev_per_fu": -2.7,
  "e_above_lowest_polymorph_ev_per_fu": 0.00,
  "lattice": [[-4.081, -4.296, 1.862], [0.023, -2.489, -5.691], [8.384, -6.682, 2.956]],
  "species": ["Br", "Br", "Fe", "Br", "Br", "Br", "Ag", "Br", "Br", "Fe", "Br", "Ag"],
  "fractional_positions": [[0.716, 0.231, 0.631], [0.716, 0.769, 0.869], [0.000, 0.500, 0.250], [0.231, 0.284, 0.369], [0.231, 0.716, 0.131], [0.769, 0.716, 0.369], [0.000, 0.000, 0.000], [0.769, 0.284, 0.131], [0.284, 0.231, 0.869], [0.500, 0.000, 0.750], [0.284, 0.769, 0.631], [0.000, 0.000, 0.500]]
}